No. 1
# GGA-PBE Fe2ReAs, optimized geometry
# Polymorph energy (0 for the lowest one), kJ per mole of atoms: 7.4
# Calculated volume, Å³ per cell: 210.4
# Formation energy, kJ per mole of atoms: 19.55
# Density, g/cm³: 11.8
# Energy, eV for the cell shown: -132.8
# Total magnetic moment, μB per formula unit: 4.460
data_Fe2ReAs
_cell_length_a 5.9473
_cell_length_b 5.9473
_cell_length_c 5.9473
_cell_angle_alpha 90.00
_cell_angle_beta 90.00
_cell_angle_gamma 90.00
_space_group_name_H-M_alt 'F -4 3 m'
_space_group_IT_number 216
_space_group_name_Hall 'F -4 2 3'
loop_
_atom_site_label
_atom_site_fract_x
_atom_site_fract_y
_atom_site_fract_z
Fe1 0.0000 0.0000 0.0000
Fe2 0.2500 0.2500 0.2500
Re1 0.0000 0.0000 0.5000
As1 0.2500 0.2500 0.7500



No. 2
# GGA-PBE FeReAs2, optimized geometry
# Polymorph energy (0 for the lowest one), kJ per mole of atoms: 7.7
# Calculated volume, Å³ per cell: 59.2
# Formation energy, kJ per mole of atoms: 16.43
# Density, g/cm³: 11.0
# Energy, eV for the cell shown: -29.5
# Total magnetic moment, μB per formula unit: 1.572
data_FeReAs2
_cell_length_a 3.2361
_cell_length_b 3.2361
_cell_length_c 5.6518
_cell_angle_alpha 90.00
_cell_angle_beta 90.00
_cell_angle_gamma 90.00
_space_group_name_H-M_alt 'P 4 m m'
_space_group_IT_number 99
_space_group_name_Hall 'P 4 -2'
loop_
_atom_site_label
_atom_site_fract_x
_atom_site_fract_y
_atom_site_fract_z
Fe1 0.0000 0.0000 0.0000
Re1 0.5000 0.5000 0.3269
As1 0.0000 0.0000 0.5275
As2 0.5000 0.5000 0.8737



No. 3
# GGA-PBE Fe2ReAs, optimized geometry
# Polymorph energy (0 for the lowest one), kJ per mole of atoms: 0.0
# Calculated volume, Å³ per cell: 49.9
# Formation energy, kJ per mole of atoms: 12.12
# Density, g/cm³: 12.4
# Energy, eV for the cell shown: -33.5
# Total magnetic moment, μB per formula unit: 0.000
data_Fe2ReAs
_cell_length_a 2.7490
_cell_length_b 2.7490
_cell_length_c 6.5974
_cell_angle_alpha 90.00
_cell_angle_beta 90.00
_cell_angle_gamma 90.00
_space_group_name_H-M_alt 'P 4/m m m'
_space_group_IT_number 123
_space_group_name_Hall '-P 4 2'
loop_
_atom_site_label
_atom_site_fract_x
_atom_site_fract_y
_atom_site_fract_z
Fe1 0.0000 0.0000 0.2310
Re1 0.5000 0.5000 0.5000
As1 0.5000 0.5000 0.0000



No. 4
# GGA-PBE FeRe2As, optimized geometry
# Polymorph energy (0 for the lowest one), kJ per mole of atoms: 13.5
# Calculated volume, Å³ per cell: 221.8
# Formation energy, kJ per mole of atoms: 29.51
# Density, g/cm³: 15.1
# Energy, eV for the cell shown: -147.1
# Total magnetic moment, μB per formula unit: 1.754
data_FeRe2As
_cell_length_a 6.0529
_cell_length_b 6.0529
_cell_length_c 6.0529
_cell_angle_alpha 90.00
_cell_angle_beta 90.00
_cell_angle_gamma 90.00
_space_group_name_H-M_alt 'F m -3 m'
_space_group_IT_number 225
_space_group_name_Hall '-F 4 2 3'
loop_
_atom_site_label
_atom_site_fract_x
_atom_site_fract_y
_atom_site_fract_z
Fe1 0.0000 0.0000 0.0000
Re1 0.2500 0.2500 0.2500
As1 0.0000 0.0000 0.5000